Density functional theory data (PBE) for an optimized crystal structure of Ba12Si3Cl5.

Computed properties:
Crystal system: cubic
Energy relative to the elements, uncorrected: -0.921 eV per atom
V: 3491 Å³ per cell
Magnetization: 12.85 Bohr magnetons per cell
Total energy: -3.3499 eV/atom

Unit cell a=16.5527 b=16.5527 c=16.5527 alpha=109.47 beta=109.47 gamma=109.47
Positions (direct):
1 Si 0.7500 0.3750 0.1250
2 Si 0.8750 0.7500 0.1250
3 Si 0.3750 0.7500 0.6250
4 Si 0.2500 0.1250 0.3750
5 Si 0.8750 0.1250 0.2500
6 Si 0.3750 0.6250 0.2500
7 Si 0.6250 0.3750 0.7500
8 Si 0.1250 0.8750 0.7500
9 Si 0.7500 0.8750 0.6250
10 Si 0.6250 0.2500 0.3750
11 Si 0.1250 0.2500 0.8750
12 Si 0.2500 0.6250 0.8750
13 Cl 0.1250 0.3750 0.2500
14 Cl 0.0000 0.5000 0.0000
15 Cl 0.0000 0.0000 0.0000
16 Cl 0.3750 0.2500 0.1250
17 Cl 0.5000 0.0000 0.5000
18 Cl 0.5000 0.5000 0.0000
19 Cl 0.1250 0.7500 0.3750
20 Cl 0.7500 0.1250 0.8750
21 Cl 0.7500 0.6250 0.3750
22 Cl 0.3750 0.1250 0.7500
23 Cl 0.6250 0.8750 0.2500
24 Cl 0.5000 0.5000 0.5000
25 Cl 0.5000 0.0000 0.0000
26 Cl 0.0000 0.0000 0.5000
27 Cl 0.2500 0.3750 0.6250
28 Cl 0.2500 0.8750 0.1250
29 Cl 0.0000 0.5000 0.5000
30 Cl 0.8750 0.2500 0.6250
31 Cl 0.6250 0.7500 0.8750
32 Cl 0.8750 0.6250 0.7500
33 Ba 0.7261 0.1343 0.0494
34 Ba 0.3234 0.5494 0.4151
35 Ba 0.9506 0.3657 0.2739
36 Ba 0.5494 0.2261 0.1343
37 Ba 0.5918 0.7261 0.6766
38 Ba 0.9506 0.5849 0.1766
39 Ba 0.3234 0.7739 0.4082
40 Ba 0.0849 0.9082 0.1343
41 Ba 0.5849 0.9506 0.6766
42 Ba 0.7261 0.5918 0.1766
43 Ba 0.7739 0.4506 0.3657
44 Ba 0.8234 0.9151 0.0494
45 Ba 0.1343 0.7261 0.5494
46 Ba 0.3657 0.4151 0.0918
47 Ba 0.0918 0.9151 0.3657
48 Ba 0.4082 0.1343 0.5849
49 Ba 0.0918 0.1766 0.2261
50 Ba 0.4506 0.6766 0.0849
51 Ba 0.8234 0.9082 0.2739
52 Ba 0.1343 0.4082 0.0849
53 Ba 0.3657 0.9506 0.7739
54 Ba 0.5849 0.6343 0.4082
55 Ba 0.9151 0.8234 0.5494
56 Ba 0.7739 0.3234 0.9082
57 Ba 0.4151 0.3657 0.5918
58 Ba 0.0849 0.1766 0.4506
59 Ba 0.2261 0.6766 0.0918
60 Ba 0.1766 0.0918 0.7261
61 Ba 0.6343 0.0494 0.2261
62 Ba 0.8657 0.5918 0.9151
63 Ba 0.5494 0.3234 0.9151
64 Ba 0.5918 0.8657 0.4151
65 Ba 0.9082 0.8234 0.7739
66 Ba 0.9082 0.0849 0.6343
67 Ba 0.8657 0.2739 0.4506
68 Ba 0.1766 0.0849 0.9506
69 Ba 0.6343 0.5849 0.9082
70 Ba 0.4151 0.0494 0.3234
71 Ba 0.2739 0.4082 0.8234
72 Ba 0.2261 0.5494 0.6343
73 Ba 0.9151 0.0918 0.8657
74 Ba 0.6766 0.2261 0.5918
75 Ba 0.4506 0.7739 0.8657
76 Ba 0.0494 0.4151 0.8234
77 Ba 0.4082 0.2739 0.3234
78 Ba 0.0494 0.6343 0.7261
79 Ba 0.6766 0.4506 0.5849
80 Ba 0.2739 0.8657 0.9506